Record 1
{
  "formula": "TiNCl",
  "functional": "PBE-GGA",
  "state": "relaxed",
  "volume_a3_per_atom": 18.60,
  "e_tot_ev_per_cell": -45.4,
  "space_group": "No. 59",
  "lattice": [[3.2765, 0.0000, 0.0000], [0.0000, 3.9654, 0.0000], [0.0000, 0.0000, 8.5881]],
  "species": ["Cl", "Cl", "N", "N", "Ti", "Ti"],
  "fractional_positions": [[0.5000, 0.5000, 0.6956], [0.0000, 0.0000, 0.3044], [0.0000, 0.0000, 0.9557], [0.5000, 0.5000, 0.0443], [0.5000, 0.0000, 0.0898], [0.0000, 0.5000, 0.9102]]
}



Record 2
{
  "formula": "BePd2Pt2",
  "functional": "PBE-GGA",
  "state": "relaxed",
  "e_form_mev_per_atom": -13,
  "volume_a3_per_atom": 14.87,
  "e_tot_ev_per_cell": -52.5,
  "polymorph_energy_ev_per_atom": 0.106,
  "space_group": "No. 127",
  "lattice": [[5.7696, 0.0000, 0.0000], [0.0000, 5.7696, 0.0000], [0.0000, 0.0000, 4.4656]],
  "species": ["Pt", "Pt", "Pt", "Pt", "Pd", "Pd", "Pd", "Pd", "Be", "Be"],
  "fractional_positions": [[0.1644, 0.6644, 0.5000], [0.8356, 0.3356, 0.5000], [0.3356, 0.1644, 0.5000], [0.6644, 0.8356, 0.5000], [0.1572, 0.3428, 0.0000], [0.6572, 0.1572, 0.0000], [0.8428, 0.6572, 0.0000], [0.3428, 0.8428, 0.0000], [0.5000, 0.5000, 0.0000], [0.0000, 0.0000, 0.0000]]
}



Record 3
{
  "formula": "AcCdRh",
  "functional": "PBE-GGA",
  "state": "relaxed",
  "e_form_mev_per_atom": -421,
  "volume_a3_per_atom": 28.09,
  "e_tot_ev_per_cell": -13.6,
  "polymorph_energy_ev_per_atom": 0.091,
  "space_group": "No. 216",
  "lattice": [[-4.0824, -0.2090, -2.7396], [-4.2421, -1.4706, 2.0141], [-3.6274, 3.2421, 0.7385]],
  "species": ["Cd", "Rh", "Ac"],
  "fractional_positions": [[0.5000, 0.5000, 0.5000], [0.2500, 0.2500, 0.2500], [0.0000, 0.0000, 0.0000]]
}



Record 4
{
  "formula": "Li2LaTi3O8",
  "functional": "PBE-GGA",
  "state": "relaxed",
  "volume_a3_per_atom": 12.39,
  "e_tot_ev_per_cell": -112.0,
  "space_group": "No. 160",
  "lattice": [[-0.6857, -5.7198, 1.9615], [4.5127, -2.7405, 3.0265], [-0.7375, -0.9770, 6.3333]],
  "species": ["O", "O", "O", "O", "O", "O", "O", "O", "Ti", "Ti", "Ti", "Li", "Li", "La"],
  "fractional_positions": [[0.2687, 0.2687, 0.1938], [0.7447, 0.7447, 0.2001], [0.7087, 0.2490, 0.7932], [0.7447, 0.3105, 0.2001], [0.3105, 0.7447, 0.2001], [0.7315, 0.7315, 0.8054], [0.2490, 0.7087, 0.7932], [0.2490, 0.2490, 0.7932], [0.0129, 0.4982, 0.9906], [0.4982, 0.4982, 0.9906], [0.4982, 0.0129, 0.9906], [0.5058, 0.5058, 0.4825], [0.0978, 0.0978, 0.7067], [0.8728, 0.8728, 0.3817]]
}



Record 5
{
  "formula": "LiCe2Sb2",
  "functional": "PBE-GGA",
  "state": "relaxed",
  "volume_a3_per_atom": 28.05,
  "e_tot_ev_per_cell": -52.3,
  "space_group": "No. 72",
  "lattice": [[-4.1362, -2.3414, 4.4207], [3.5952, -5.4828, 0.4598], [3.8401, 6.6548, 2.3522]],
  "species": ["Sb", "Sb", "Sb", "Sb", "Ce", "Ce", "Ce", "Ce", "Li", "Li"],
  "fractional_positions": [[0.8823, 0.1452, 0.7645], [0.3823, 0.6193, 0.7645], [0.6177, 0.3807, 0.2355], [0.1177, 0.8548, 0.2355], [0.6399, 0.9195, 0.2799], [0.8601, 0.6396, 0.7201], [0.3601, 0.0805, 0.7201], [0.1399, 0.3604, 0.2799], [0.7500, 0.5000, 0.0000], [0.2500, 0.5000, 0.0000]]
}



Record 6
{
  "formula": "LiY2Sb2",
  "functional": "PBE-GGA",
  "state": "relaxed",
  "volume_a3_per_atom": 34.43,
  "e_tot_ev_per_cell": -25.4,
  "polymorph_energy_ev_per_atom": 0.381,
  "space_group": "No. 139",
  "lattice": [[-1.9896, 4.3093, 2.0215], [-4.3009, -2.5663, 1.2375], [-0.5888, -0.6429, 7.3740]],
  "species": ["Li", "Sb", "Sb", "Y", "Y"],
  "fractional_positions": [[0.0000, 0.0000, 0.0000], [0.3745, 0.3745, 0.2511], [0.6255, 0.6255, 0.7489], [0.7500, 0.2500, 0.5000], [0.2500, 0.7500, 0.5000]]
}



Record 7
{
  "formula": "Ce2Ga3GePt4",
  "functional": "PBE-GGA",
  "state": "relaxed",
  "e_form_mev_per_atom": -926,
  "volume_a3_per_atom": 19.27,
  "e_tot_ev_per_cell": -59.0,
  "space_group": "No. 115",
  "lattice": [[4.3288, 0.0000, 0.0000], [0.0000, 4.3288, 0.0000], [0.0000, 0.0000, 10.2861]],
  "species": ["Ga", "Ga", "Ga", "Pt", "Pt", "Pt", "Pt", "Ce", "Ce", "Ge"],
  "fractional_positions": [[0.0000, 0.5000, 0.1299], [0.5000, 0.0000, 0.8701], [0.0000, 0.0000, 0.5000], [0.5000, 0.0000, 0.6297], [0.0000, 0.5000, 0.3703], [0.0000, 0.0000, 0.0000], [0.5000, 0.5000, 0.0000], [0.5000, 0.0000, 0.2541], [0.0000, 0.5000, 0.7459], [0.5000, 0.5000, 0.5000]]
}



Record 8
{
  "formula": "Ba2AlZn6Au",
  "functional": "PBE-GGA",
  "state": "relaxed",
  "e_form_mev_per_atom": -237,
  "volume_a3_per_atom": 23.83,
  "e_tot_ev_per_cell": -20.9,
  "space_group": "No. 2",
  "lattice": [[-2.4175, -3.1456, -5.7792], [-1.3626, -5.6477, 3.8870], [-6.4777, -2.3663, -1.2195]],
  "species": ["Zn", "Zn", "Zn", "Zn", "Zn", "Zn", "Al", "Ba", "Ba", "Au"],
  "fractional_positions": [[0.7498, 0.8618, 0.8874], [0.2502, 0.1382, 0.1127], [0.7040, 0.1987, 0.9721], [0.1706, 0.1973, 0.5053], [0.8294, 0.8027, 0.4947], [0.2960, 0.8013, 0.0279], [0.0000, 0.0000, 0.0000], [0.2618, 0.6709, 0.5899], [0.7382, 0.3291, 0.4101], [0.5000, 0.5000, 0.0000]]
}



Record 9
{
  "formula": "Sr6IrBr",
  "functional": "PBE-GGA",
  "state": "relaxed",
  "volume_a3_per_atom": 45.12,
  "e_tot_ev_per_cell": -24.4,
  "space_group": "No. 12",
  "lattice": [[-3.2597, -5.7994, -3.4950], [6.8411, -1.0069, 2.9426], [-4.1260, 0.0443, 6.4409]],
  "species": ["Sr", "Sr", "Sr", "Sr", "Sr", "Sr", "Ir", "Br"],
  "fractional_positions": [[0.4412, 0.1142, 0.2666], [0.2604, 0.2604, 0.7297], [0.7396, 0.7396, 0.2703], [0.1142, 0.4412, 0.2666], [0.5588, 0.8858, 0.7334], [0.8858, 0.5588, 0.7334], [0.5000, 0.5000, 0.5000], [0.0000, 0.0000, 0.0000]]
}



Record 10
{
  "formula": "PmSm2Dy6Sc3",
  "functional": "PBE-GGA",
  "state": "relaxed",
  "e_form_mev_per_atom": 46,
  "volume_a3_per_atom": 30.23,
  "e_tot_ev_per_cell": -60.2,
  "space_group": "No. 12",
  "lattice": [[6.0773, -0.0002, 0.0126], [-3.0373, 5.2639, 0.0126], [-1.0364, -1.7945, 11.3325]],
  "species": ["Dy", "Dy", "Dy", "Dy", "Dy", "Dy", "Sc", "Sc", "Sc", "Sm", "Sm", "Pm"],
  "fractional_positions": [[0.2462, 0.2462, 0.7385], [0.4206, 0.0872, 0.2614], [0.0872, 0.4206, 0.2614], [0.9128, 0.5794, 0.7386], [0.7538, 0.7538, 0.2615], [0.5794, 0.9128, 0.7386], [0.8331, 0.1669, 0.5000], [0.5000, 0.5000, 0.5000], [0.1669, 0.8331, 0.5000], [0.6666, 0.3334, 0.0000], [0.3334, 0.6666, 0.0000], [0.0000, 0.0000, 0.0000]]
}



Record 11
{
  "formula": "DyAgBiAu",
  "functional": "PBE-GGA",
  "state": "relaxed",
  "e_form_mev_per_atom": -408,
  "volume_a3_per_atom": 23.54,
  "e_tot_ev_per_cell": -16.2,
  "space_group": "No. 216",
  "lattice": [[-3.5868, 1.7613, 3.1796], [0.9540, 0.3062, 5.0073], [0.5709, 4.5651, 2.2160]],
  "species": ["Dy", "Au", "Bi", "Ag"],
  "fractional_positions": [[0.5000, 0.5000, 0.5000], [0.7500, 0.7500, 0.7500], [0.0000, 0.0000, 0.0000], [0.2500, 0.2500, 0.2500]]
}



Record 12
{
  "formula": "NpUN4",
  "functional": "PBE-GGA",
  "state": "relaxed",
  "volume_a3_per_atom": 12.07,
  "e_tot_ev_per_cell": -64.4,
  "space_group": "No. 166",
  "lattice": [[-0.8188, -3.2026, 1.6986], [1.5340, -3.1738, -1.1788], [4.8787, -1.2955, 3.9747]],
  "species": ["N", "N", "N", "N", "U", "Np"],
  "fractional_positions": [[0.8757, 0.8757, 0.3728], [0.6255, 0.6255, 0.1234], [0.3745, 0.3745, 0.8766], [0.1243, 0.1243, 0.6272], [0.5000, 0.5000, 0.5000], [0.0000, 0.0000, 0.0000]]
}



Record 13
{
  "formula": "LiSmPtPb",
  "functional": "PBE-GGA",
  "state": "relaxed",
  "e_form_mev_per_atom": -725,
  "volume_a3_per_atom": 20.61,
  "e_tot_ev_per_cell": -19.3,
  "space_group": "No. 216",
  "lattice": [[4.8855, 0.0000, 0.0000], [2.4427, 4.2309, 0.0000], [2.4427, 1.4103, 3.9890]],
  "species": ["Sm", "Pb", "Pt", "Li"],
  "fractional_positions": [[0.0000, 0.0000, 0.0000], [0.5000, 0.5000, 0.5000], [0.7500, 0.7500, 0.7500], [0.2500, 0.2500, 0.2500]]
}



Record 14
{
  "formula": "Sr2CaAc4",
  "functional": "PBE-GGA",
  "state": "relaxed",
  "e_form_mev_per_atom": 44,
  "volume_a3_per_atom": 47.76,
  "e_tot_ev_per_cell": -21.5,
  "space_group": "No. 65",
  "lattice": [[-1.5460, 0.3166, -3.6873], [-1.9797, -3.4995, 0.5296], [-15.1025, 12.0079, 7.3633]],
  "species": ["Sr", "Sr", "Ac", "Ac", "Ac", "Ac", "Ca"],
  "fractional_positions": [[0.5000, 0.7940, 0.5881], [0.5000, 0.2060, 0.4119], [0.5000, 0.9321, 0.8643], [0.5000, 0.0679, 0.1357], [0.0000, 0.3679, 0.7359], [0.0000, 0.6321, 0.2641], [0.0000, 0.5000, 0.0000]]
}



Record 15
{
  "formula": "BaCrH2",
  "functional": "PBE-GGA",
  "state": "relaxed",
  "volume_a3_per_atom": 15.97,
  "e_tot_ev_per_cell": -35.5,
  "polymorph_energy_ev_per_atom": 0.000,
  "space_group": "No. 122",
  "lattice": [[-4.5816, -0.2669, 3.4964], [0.7849, -5.6848, 0.5946], [0.3755, -2.3452, 5.0733]],
  "species": ["H", "H", "H", "H", "Cr", "Cr", "Ba", "Ba"],
  "fractional_positions": [[0.2543, 0.6250, 0.2500], [0.3750, 0.5043, 0.7500], [0.8750, 0.7457, 0.7500], [0.4957, 0.1250, 0.2500], [0.2500, 0.7500, 0.5000], [0.5000, 0.5000, 0.0000], [0.7500, 0.2500, 0.5000], [0.0000, 0.0000, 0.0000]]
}



Record 16
{
  "formula": "Be4Ga",
  "functional": "PBE-GGA",
  "state": "relaxed",
  "e_form_mev_per_atom": 1170,
  "volume_a3_per_atom": 14.46,
  "e_tot_ev_per_cell": -12.1,
  "space_group": "No. 221",
  "lattice": [[4.1659, 0.0000, 0.0000], [0.0000, 4.1659, 0.0000], [0.0000, 0.0000, 4.1659]],
  "species": ["Be", "Be", "Be", "Be", "Ga"],
  "fractional_positions": [[0.0000, 0.0000, 0.0000], [0.5000, 0.0000, 0.5000], [0.5000, 0.5000, 0.0000], [0.0000, 0.5000, 0.5000], [0.5000, 0.5000, 0.5000]]
}



Record 17
{
  "formula": "Ba2GaCoN",
  "functional": "PBE-GGA",
  "state": "relaxed",
  "volume_a3_per_atom": 24.72,
  "e_tot_ev_per_cell": -23.8,
  "space_group": "No. 123",
  "lattice": [[5.8992, 0.0000, 0.0000], [0.0000, 5.8992, 0.0000], [0.0000, 0.0000, 3.5516]],
  "species": ["Ba", "Ba", "Co", "N", "Ga"],
  "fractional_positions": [[0.5000, 0.0000, 0.0000], [0.0000, 0.5000, 0.0000], [0.0000, 0.0000, 0.5000], [0.0000, 0.0000, 0.0000], [0.5000, 0.5000, 0.5000]]
}



Record 18
{
  "formula": "HgPd4Au",
  "functional": "PBE-GGA",
  "state": "relaxed",
  "e_form_mev_per_atom": 114,
  "volume_a3_per_atom": 17.47,
  "e_tot_ev_per_cell": -23.7,
  "polymorph_energy_ev_per_atom": 0.115,
  "space_group": "No. 216",
  "lattice": [[-3.2730, -3.5962, 2.0898], [1.9007, -4.6399, 1.6945], [0.1843, -1.0498, 5.1842]],
  "species": ["Pd", "Pd", "Pd", "Pd", "Au", "Hg"],
  "fractional_positions": [[0.6251, 0.1246, 0.6251], [0.6251, 0.6251, 0.1246], [0.6251, 0.6251, 0.6251], [0.1246, 0.6251, 0.6251], [0.0000, 0.0000, 0.0000], [0.2500, 0.2500, 0.2500]]
}



Record 19
{
  "formula": "Ca4Mg2Cu",
  "functional": "PBE-GGA",
  "state": "relaxed",
  "e_form_mev_per_atom": 97,
  "volume_a3_per_atom": 35.62,
  "e_tot_ev_per_cell": -14.6,
  "polymorph_energy_ev_per_atom": 0.032,
  "space_group": "No. 139",
  "lattice": [[-2.7049, 2.7049, 8.5190], [2.7049, -2.7049, 8.5190], [2.7049, 2.7049, -8.5190]],
  "species": ["Mg", "Mg", "Ca", "Ca", "Ca", "Ca", "Cu"],
  "fractional_positions": [[0.6264, 0.6264, 0.0000], [0.3736, 0.3736, 0.0000], [0.1736, 0.1736, 0.0000], [0.0000, 0.5000, 0.5000], [0.5000, 0.0000, 0.5000], [0.8264, 0.8264, 0.0000], [0.0000, 0.0000, 0.0000]]
}



Record 20
{
  "formula": "TlGa2Sb",
  "functional": "PBE-GGA",
  "state": "relaxed",
  "volume_a3_per_atom": 31.90,
  "e_tot_ev_per_cell": -23.9,
  "polymorph_energy_ev_per_atom": 0.094,
  "space_group": "No. 122",
  "lattice": [[-3.9154, 4.9644, -1.9448], [-5.2940, -3.9065, 0.6862], [-5.1633, 2.2593, 4.9122]],
  "species": ["Ga", "Ga", "Ga", "Ga", "Sb", "Sb", "Tl", "Tl"],
  "fractional_positions": [[0.8750, 0.8626, 0.7500], [0.1374, 0.6250, 0.2500], [0.6126, 0.1250, 0.2500], [0.3750, 0.3874, 0.7500], [0.5000, 0.5000, 0.0000], [0.2500, 0.7500, 0.5000], [0.7500, 0.2500, 0.5000], [0.0000, 0.0000, 0.0000]]
}



no.,DOS at the Fermi energy (states/eV/f.u.)
1,0.0
2,6.3
3,1.3
4,3.7
5,15.3
6,3.9
7,12.2
8,4.1
9,6.5
10,17.4
11,1.4
12,5.1
13,0.4
14,8.7
15,1.1
16,1.2
17,4.2
18,10.3
19,5.2
20,1.3